No. 1
Material: Tb6Dy2Er3Th
Method: DFT, PBE-GGA
State: optimized geometry

The space group is C2/m (No. 12) and the conventional cell measures 6.145, 10.635 and 11.770 Å, with angles of 90.00, 100.00 and 90.00 degrees. The inequivalent atoms are Tb at (0.246, 0.000, 0.250), Tb at (0.249, 0.165, 0.750), Dy at (0.000, 0.333, 0.500), Er at (0.000, 0.167, 0.000), Er at (0.000, 0.500, 0.000) and Th at (0.000, 0.000, 0.500).

The formation energy comes out at 0.31 eV per formula unit.


No. 2
Material: ScFeCo
Method: DFT, PBE-GGA
State: optimized geometry

The space group is P3m1 (No. 156) and the conventional cell measures 2.8876, 2.8876 and 6.1224 Å, with angles of 90.00, 90.00 and 120.00 degrees. The inequivalent atoms are Sc at (0.0000, 0.0000, 0.0000), Fe at (0.3333, 0.6667, 0.6366) and Co at (0.6667, 0.3333, 0.3473).

The formation energy comes out at 0.74 eV per formula unit.


No. 3
Material: ZrHg2Au
Method: DFT, PBE-GGA
State: optimized geometry

The space group is R3m (No. 160, hexagonal axes) and the conventional cell measures 3.4234, 3.4234 and 26.9642 Å, with angles of 90.00, 90.00 and 120.00 degrees. The inequivalent atoms are Zr at (0.0000, 0.0000, 0.0000), Hg at (0.0000, 0.0000, 0.2466), Hg at (0.0000, 0.0000, 0.4923) and Au at (0.0000, 0.0000, 0.7425).

For the energy above the most stable polymorph in this dataset, the calculation gives 96 meV/atom. The formation energy comes out at -0.25 eV per formula unit.


No. 4
Material: ErThBi
Method: DFT, PBE-GGA
State: optimized geometry

The space group is P4/nmm (No. 129, origin choice 2) and the conventional cell measures 4.298, 4.298 and 10.234 Å, with angles of 90.00, 90.00 and 90.00 degrees. The inequivalent atoms are Er at (0.250, 0.250, 0.212), Th at (0.250, 0.250, 0.574) and Bi at (0.250, 0.250, 0.893).

The formation energy comes out at -0.79 eV per formula unit.


No. 5
Material: LaCuH4
Method: DFT, PBE-GGA
State: optimized geometry

The space group is C2/c (No. 15) and the conventional cell measures 6.823, 9.077 and 4.367 Å, with angles of 90.00, 108.79 and 90.00 degrees. The inequivalent atoms are La at (0.000, 0.148, 0.250), Cu at (0.000, 0.447, 0.750), H at (0.119, 0.376, 0.521) and H at (0.162, 0.093, 0.836).


No. 6
Material: YAg
Method: DFT, PBE-GGA
State: optimized geometry

The space group is P2_1/m (No. 11) and the conventional cell measures 3.735, 4.786 and 5.704 Å, with angles of 90.00, 102.73 and 90.00 degrees. The inequivalent atoms are Y at (0.112, 0.250, 0.280) and Ag at (0.436, 0.250, 0.833).

The formation energy comes out at -0.60 eV per formula unit.


No. 7
Material: CrRh3Se
Method: DFT, PBE-GGA
State: optimized geometry

The space group is Pm-3m (No. 221) and the conventional cell measures 4.523, 4.523 and 4.523 Å, with angles of 90.00, 90.00 and 90.00 degrees. The inequivalent atoms are Cr at (0.000, 0.000, 0.000), Rh at (0.000, 0.500, 0.500) and Se at (0.500, 0.500, 0.500).

For the energy above the most stable polymorph in this dataset, the calculation gives 121 meV/atom. As for the uncorrected formation energy: 1060 meV/atom.


No. 8
Material: KNaHg17
Method: DFT, PBE-GGA
State: optimized geometry

The space group is R3m (No. 160, hexagonal axes) and the conventional cell measures 10.1418, 10.1418 and 18.2798 Å, with angles of 90.00, 90.00 and 120.00 degrees. The inequivalent atoms are K at (0.0000, 0.0000, 0.0000), Na at (0.0000, 0.0000, 0.3219), Hg at (0.0000, 0.0000, 0.5249), Hg at (0.0000, 0.0000, 0.6929), Hg at (0.0263, 0.3553, 0.3030), Hg at (0.1877, 0.3754, 0.1036), Hg at (0.2155, 0.4310, 0.4890) and Hg at (0.2171, 0.4341, 0.8376).

The formation energy comes out at -1.75 eV per formula unit.


No. 9
Material: ErTh2Cd8
Method: DFT, PBE-GGA
State: optimized geometry

The space group is C2/m (No. 12) and the conventional cell measures 8.463, 15.891 and 5.339 Å, with angles of 90.00, 128.94 and 90.00 degrees. The inequivalent atoms are Er at (0.000, 0.000, 0.000), Th at (0.000, 0.307, 0.500), Cd at (0.000, 0.196, 0.000), Cd at (0.001, 0.500, 0.747) and Cd at (0.223, 0.120, 0.723).

The formation energy comes out at -1.21 eV per formula unit.


No. 10
Material: BaCu3Ge
Method: DFT, PBE-GGA
State: optimized geometry

The space group is C2/m (No. 12) and the conventional cell measures 15.427, 4.382 and 6.857 Å, with angles of 90.00, 116.37 and 90.00 degrees. The inequivalent atoms are Ba at (0.148, 0.000, 0.276), Cu at (0.089, 0.500, 0.550), Cu at (0.114, 0.000, 0.782), Cu at (0.206, 0.500, 0.949) and Ge at (0.029, 0.500, 0.836).

For the energy above the most stable polymorph in this dataset, the calculation gives 0 meV/atom. The formation energy comes out at -0.35 eV per formula unit.


No. 11
Material: Na2NdTlBr6
Method: DFT, PBE-GGA
State: optimized geometry

The space group is R3 (No. 146, hexagonal axes) and the conventional cell measures 7.6856, 7.6856 and 20.9681 Å, with angles of 90.00, 90.00 and 120.00 degrees. The inequivalent atoms are Na at (0.0000, 0.0000, 0.0000), Na at (0.0000, 0.0000, 0.4879), Nd at (0.0000, 0.0000, 0.6823), Tl at (0.0000, 0.0000, 0.1986), Br at (0.0116, 0.3339, 0.7515) and Br at (0.0228, 0.6199, 0.2583).

As for the uncorrected formation energy: -1547 meV/atom.


No. 12
Material: LaHo8Er3
Method: DFT, PBE-GGA
State: optimized geometry

The space group is Immm (No. 71) and the conventional cell measures 6.361, 11.313 and 11.342 Å, with angles of 90.00, 90.00 and 90.00 degrees. The inequivalent atoms are La at (0.000, 0.000, 0.000), Ho at (0.000, 0.170, 0.251), Ho at (0.244, 0.260, 0.000), Er at (0.000, 0.000, 0.500) and Er at (0.000, 0.500, 0.239).

The formation energy comes out at 3.98 eV per formula unit.


No. 13
Material: Ca2MgZr
Method: DFT, PBE-GGA
State: optimized geometry

The space group is R3m (No. 160, hexagonal axes) and the conventional cell measures 3.4792, 3.4792 and 34.5730 Å, with angles of 90.00, 90.00 and 120.00 degrees. The inequivalent atoms are Ca at (0.0000, 0.0000, 0.0000), Ca at (0.0000, 0.0000, 0.2362), Mg at (0.0000, 0.0000, 0.7490) and Zr at (0.0000, 0.0000, 0.4875).

The formation energy comes out at 0.93 eV per formula unit.


No. 14
Material: NaGdS2
Method: DFT, PBE-GGA
State: optimized geometry

The space group is R-3m (No. 166, hexagonal axes) and the conventional cell measures 4.0343, 4.0343 and 20.0116 Å, with angles of 90.00, 90.00 and 120.00 degrees. The inequivalent atoms are Na at (0.0000, 0.0000, 0.0000), Gd at (0.0000, 0.0000, 0.5000) and S at (0.0000, 0.0000, 0.2427).

As for the uncorrected formation energy: -1838 meV/atom.


No. 15
Material: Tm4Sn2B
Method: DFT, PBE-GGA
State: optimized geometry

The space group is I4/mmm (No. 139) and the conventional cell measures 4.812, 4.812 and 15.780 Å, with angles of 90.00, 90.00 and 90.00 degrees. The inequivalent atoms are Tm at (0.000, 0.000, 0.164), Tm at (0.000, 0.500, 0.000), Sn at (0.000, 0.000, 0.362) and B at (0.000, 0.000, 0.000).

The formation energy comes out at -3.66 eV per formula unit.


No. 16
Material: Ba3NpAg2O8
Method: DFT, PBE-GGA
State: optimized geometry

The space group is P-3m1 (No. 164) and the conventional cell measures 5.9708, 5.9708 and 8.3566 Å, with angles of 90.00, 90.00 and 120.00 degrees. The inequivalent atoms are Ba at (0.0000, 0.0000, 0.0000), Ba at (0.3333, 0.6667, 0.6399), Np at (0.0000, 0.0000, 0.5000), Ag at (0.3333, 0.6667, 0.1769), O at (0.1589, 0.3178, 0.3585) and O at (0.3333, 0.6667, 0.9334).

As for the uncorrected formation energy: -1923 meV/atom.


No. 17
Material: SiHg2Rh
Method: DFT, PBE-GGA
State: optimized geometry

The space group is P4/mmm (No. 123) and the conventional cell measures 3.704, 3.704 and 5.373 Å, with angles of 90.00, 90.00 and 90.00 degrees. The inequivalent atoms are Si at (0.000, 0.000, 0.000), Hg at (0.500, 0.500, 0.252) and Rh at (0.000, 0.000, 0.500).

As for the uncorrected formation energy: 301 meV/atom.


No. 18
Material: Tb3ZnCo3
Method: DFT, PBE-GGA
State: optimized geometry

The space group is Cmcm (No. 63) and the conventional cell measures 4.141, 9.875 and 12.942 Å, with angles of 90.00, 90.00 and 90.00 degrees. The inequivalent atoms are Tb at (0.000, 0.008, 0.250), Tb at (0.000, 0.297, 0.102), Zn at (0.000, 0.000, 0.000), Co at (0.000, 0.293, 0.750) and Co at (0.000, 0.412, 0.597).

The formation energy comes out at -1.79 eV per formula unit.


No. 19
Material: La2Pm4Dy2Tm
Method: DFT, PBE-GGA
State: optimized geometry

The space group is C2/m (No. 12) and the conventional cell measures 18.973, 3.670 and 9.720 Å, with angles of 90.00, 115.62 and 90.00 degrees. The inequivalent atoms are La at (0.165, 0.000, 0.498), Pm at (0.019, 0.000, 0.835), Pm at (0.186, 0.500, 0.835), Dy at (0.147, 0.500, 0.165) and Tm at (0.000, 0.500, 0.500).

The formation energy comes out at 0.07 eV per formula unit.


No. 20
Material: Tc2MoP
Method: DFT, PBE-GGA
State: optimized geometry

The space group is Cmmm (No. 65) and the conventional cell measures 3.039, 4.691 and 8.141 Å, with angles of 90.00, 90.00 and 90.00 degrees. The inequivalent atoms are Tc at (0.000, 0.000, 0.222), Mo at (0.000, 0.500, 0.500) and P at (0.000, 0.500, 0.000).

The formation energy comes out at 0.51 eV per formula unit.


No. 21
Material: Dy7Tm4Pu
Method: DFT, PBE-GGA
State: optimized geometry

The space group is C2/m (No. 12) and the conventional cell measures 16.303, 5.777 and 9.332 Å, with angles of 90.00, 120.86 and 90.00 degrees. The inequivalent atoms are Dy at (0.000, 0.000, 0.000), Dy at (0.062, 0.500, 0.719), Dy at (0.168, 0.500, 0.343), Dy at (0.208, 0.000, 0.880), Tm at (0.089, 0.000, 0.452), Tm at (0.237, 0.000, 0.263) and Pu at (0.000, 0.500, 0.000).

The formation energy comes out at 3.00 eV per formula unit.


No. 22
Material: RbZrAs3
Method: DFT, PBE-GGA
State: optimized geometry

The space group is Pm-3m (No. 221) and the conventional cell measures 5.293, 5.293 and 5.293 Å, with angles of 90.00, 90.00 and 90.00 degrees. The inequivalent atoms are Rb at (0.000, 0.000, 0.000), Zr at (0.500, 0.500, 0.500) and As at (0.000, 0.500, 0.500).

For the energy above the most stable polymorph in this dataset, the calculation gives 0 meV/atom. The formation energy comes out at -1.33 eV per formula unit.


No. 23
Material: SmScZn
Method: DFT, PBE-GGA
State: optimized geometry

The space group is P4/nmm (No. 129, origin choice 2) and the conventional cell measures 4.582, 4.582 and 7.102 Å, with angles of 90.00, 90.00 and 90.00 degrees. The inequivalent atoms are Sm at (0.250, 0.250, 0.134), Sc at (0.250, 0.750, 0.500) and Zn at (0.250, 0.250, 0.729).

For the energy above the most stable polymorph in this dataset, the calculation gives 0 meV/atom. The formation energy comes out at -0.61 eV per formula unit.


No. 24
Material: Sm3Ga4Si4
Method: DFT, PBE-GGA
State: optimized geometry

The space group is P-1 (No. 2) and the conventional cell measures 4.123, 4.200 and 13.166 Å, with angles of 92.02, 98.97 and 90.10 degrees. The inequivalent atoms are Sm at (0.000, 0.000, 0.000), Sm at (0.363, 0.972, 0.725), Ga at (0.093, 0.484, 0.186), Ga at (0.251, 0.195, 0.501), Si at (0.182, 0.597, 0.369) and Si at (0.455, 0.464, 0.910).

As for the uncorrected formation energy: -486 meV/atom.


Spin magnetization: 0.00; 3.28; 0.00; 0.00; 0.00; 0.00; 0.75; 0.00; 0.00; 0.00; 0.00; 0.00; 2.42; 21.00; 0.00; 1.08; 0.00; 3.04; 0.00; 0.00; 14.67; 0.00; 0.00; 0.00 (μB/cell)
Volume: 31.566; 14.737; 22.806; 31.503; 10.669; 24.865; 18.501; 28.567; 25.381; 20.762; 35.755; 34.012; 30.203; 23.505; 26.098; 18.429; 18.429; 18.899; 33.905; 14.505; 31.432; 29.653; 24.848; 20.462 (A^3/atom)
Uncorrected energy: -115.57; -21.16; -38.04; -33.30; -95.26; -19.83; -29.86; -27.90; -55.87; -76.70; -105.85; -102.52; -39.65; -93.03; -72.45; -91.00; -12.17; -153.11; -84.94; -72.92; -122.87; -24.79; -25.88; -53.31 (eV per cell)